Crystalline Tb2NdEr at its relaxed geometry, computed with PBE.

Cell lengths 8.062, 8.062, 8.062 Å; angles 90.00, 90.00, 90.00 degrees
Space group Fm-3m (No. 225)
One atom of each set of equivalent atoms:
1 Tb 0.250 0.250 0.250 x8
2 Nd 0.000 0.000 0.000 x4
3 Er 0.000 0.000 0.500 x4

Calculated values
Energy of formation from the pure elements   145 meV/atom
Energy relative to the lowest polymorph listed for this composition   139 meV/atom


Crystalline Tb8NdEr3 at its relaxed geometry, computed with PBE.

Cell lengths 6.448, 11.262, 11.390 Å; angles 90.00, 90.00, 90.00 degrees
Space group Immm (No. 71)
One atom of each set of equivalent atoms:
1 Tb 0.000 0.167 0.249 x8
2 Tb 0.245 0.258 0.500 x8
3 Nd 0.000 0.000 0.500 x2
4 Er 0.000 0.000 0.000 x2
5 Er 0.000 0.500 0.259 x4

Calculated values
Energy of formation from the pure elements   336 meV/atom


Crystalline Tb3Nd4Er5 at its relaxed geometry, computed with PBE.

Cell lengths 16.077, 5.932, 9.372 Å; angles 90.00, 116.64, 90.00 degrees
Space group C2/m (No. 12)
One atom of each set of equivalent atoms:
1 Tb 0.000 0.000 0.000 x2
2 Tb 0.212 0.500 0.237 x4
3 Nd 0.085 0.500 0.446 x4
4 Nd 0.215 0.500 0.883 x4
5 Er 0.000 0.500 0.000 x2
6 Er 0.070 0.000 0.701 x4
7 Er 0.171 0.000 0.384 x4

Calculated values
Energy of formation from the pure elements   228 meV/atom


Crystalline Tb3Nd5Er at its relaxed geometry, computed with PBE.

Cell lengths 15.319, 11.748, 9.891 Å; angles 90.00, 129.58, 90.00 degrees
Space group C2/m (No. 12)
One atom of each set of equivalent atoms:
1 Tb 0.000 0.000 0.000 x2
2 Tb 0.000 0.500 0.500 x2
3 Tb 0.007 0.000 0.323 x4
4 Tb 0.014 0.500 0.851 x4
5 Nd 0.000 0.247 0.500 x4
6 Nd 0.147 0.247 0.237 x8
7 Nd 0.226 0.500 0.548 x4
8 Nd 0.228 0.000 0.736 x4
9 Er 0.249 0.000 0.093 x4

Calculated values
Energy of formation from the pure elements   481 meV/atom
Energy relative to the lowest polymorph listed for this composition   212 meV/atom


Crystalline TbNd6Er5 at its relaxed geometry, computed with PBE.

Cell lengths 5.121, 10.067, 15.315 Å; angles 90.00, 90.00, 90.00 degrees
Space group Immm (No. 71)
One atom of each set of equivalent atoms:
1 Tb 0.000 0.000 0.000 x2
2 Nd 0.000 0.249 0.500 x4
3 Nd 0.000 0.250 0.167 x8
4 Er 0.000 0.000 0.333 x4
5 Er 0.000 0.500 0.000 x2
6 Er 0.000 0.500 0.333 x4

Calculated values
Energy of formation from the pure elements   17 meV/atom
Energy relative to the lowest polymorph listed for this composition   4 meV/atom


Crystalline Tb4NdEr5 at its relaxed geometry, computed with PBE.

Cell lengths 3.548, 6.670, 14.074 Å; angles 98.53, 92.98, 104.00 degrees
Space group P-1 (No. 2)
One atom of each set of equivalent atoms:
1 Tb 0.119 0.309 0.218 x2
2 Tb 0.189 0.226 0.804 x2
3 Nd 0.000 0.500 0.000 x1
4 Er 0.204 0.381 0.583 x2
5 Er 0.489 0.926 0.612 x2
6 Er 0.500 0.000 0.000 x1

Calculated values
Energy of formation from the pure elements   61 meV/atom
Energy relative to the lowest polymorph listed for this composition   0 meV/atom


Crystalline Tb5Nd5Er at its relaxed geometry, computed with PBE.

Cell lengths 18.999, 6.035, 7.039 Å; angles 90.00, 111.58, 90.00 degrees
Space group C2/m (No. 12)
One atom of each set of equivalent atoms:
1 Tb 0.000 0.000 0.000 x2
2 Tb 0.123 0.500 0.124 x4
3 Tb 0.169 0.500 0.670 x4
4 Nd 0.000 0.500 0.500 x2
5 Nd 0.175 0.000 0.431 x4
6 Nd 0.175 0.000 0.920 x4
7 Er 0.000 0.000 0.500 x2

Calculated values
Energy of formation from the pure elements   256 meV/atom


Crystalline Tb2Nd2Er15 at its relaxed geometry, computed with PBE.

Cell lengths 11.1969, 11.1969, 17.3377 Å; angles 90.00, 90.00, 120.00 degrees
Space group R-3m (No. 166, hexagonal axes)
One atom of each set of equivalent atoms:
1 Tb 0.0000 0.0000 0.1015 x6
2 Nd 0.0000 0.0000 0.3295 x6
3 Er 0.0000 0.2996 0.0000 x18
4 Er 0.0000 0.5000 0.5000 x9
5 Er 0.0096 0.5048 0.1392 x18

Calculated values
Energy of formation from the pure elements   282 meV/atom


Crystalline Tb3NdEr6 at its relaxed geometry, computed with PBE.

Cell lengths 10.985, 18.862, 6.166 Å; angles 90.00, 90.00, 90.00 degrees
Space group Cmc2_1 (No. 36)
One atom of each set of equivalent atoms:
1 Tb 0.000 0.109 0.000 x4
2 Tb 0.174 0.391 0.612 x8
3 Nd 0.000 0.292 0.915 x4
4 Er 0.000 0.214 0.430 x4
5 Er 0.000 0.453 0.155 x4
6 Er 0.165 0.047 0.541 x8
7 Er 0.247 0.289 0.205 x8

Calculated values
Energy of formation from the pure elements   148 meV/atom
Energy relative to the lowest polymorph listed for this composition   0 meV/atom


Crystalline Tb19Nd4Er6 at its relaxed geometry, computed with PBE.

Cell lengths 12.502, 12.502, 12.502 Å; angles 90.00, 90.00, 90.00 degrees
Space group I23 (No. 197)
One atom of each set of equivalent atoms:
1 Tb 0.000 0.000 0.000 x2
2 Tb 0.000 0.000 0.262 x12
3 Tb 0.061 0.278 0.735 x24
4 Nd 0.180 0.180 0.180 x8
5 Er 0.000 0.125 0.500 x12

Calculated values
Energy of formation from the pure elements   391 meV/atom


Crystalline Tb3Nd5Er2 at its relaxed geometry, computed with PBE.

Cell lengths 10.729, 14.892, 10.050 Å; angles 90.00, 122.25, 90.00 degrees
Space group C2/c (No. 15)
One atom of each set of equivalent atoms:
1 Tb 0.000 0.228 0.250 x4
2 Tb 0.155 0.125 0.057 x8
3 Nd 0.000 0.022 0.250 x4
4 Nd 0.000 0.272 0.750 x4
5 Nd 0.000 0.481 0.750 x4
6 Nd 0.247 0.129 0.741 x8
7 Er 0.152 0.372 0.558 x8

Calculated values
Energy of formation from the pure elements   178 meV/atom
Energy relative to the lowest polymorph listed for this composition   0 meV/atom


Crystalline Tb6NdEr at its relaxed geometry, computed with PBE.

Cell lengths 5.049, 5.049, 10.089 Å; angles 90.00, 90.00, 90.00 degrees
Space group P4/mmm (No. 123)
One atom of each set of equivalent atoms:
1 Tb 0.000 0.000 0.000 x1
2 Tb 0.000 0.000 0.500 x1
3 Tb 0.000 0.500 0.247 x4
4 Nd 0.500 0.500 0.500 x1
5 Er 0.500 0.500 0.000 x1

Calculated values
Energy of formation from the pure elements   21 meV/atom
Energy relative to the lowest polymorph listed for this composition   0 meV/atom


Table of density of states at the Fermi level (states/eV per atom), in record order: 2.432 1.225 1.617 1.552 1.336 1.608 1.723 2.028 1.395 1.515 1.712 1.614